# TlCrHg PBEsol relaxed
# total energy: -11.74 eV per cell
# formation enthalpy at 0 K: 13.0 kcal/mol of atoms
# Fermi-level density of states: 0.59 states/eV/atom
data_TlCrHg
_chemical_formula_sum 'Tl1 Cr1 Hg1'
_cell_length_a 4.6759
_cell_length_b 4.6759
_cell_length_c 3.3409
_cell_angle_alpha 90.00
_cell_angle_beta 90.00
_cell_angle_gamma 120.00
_symmetry_space_group_name_H-M 'P 3 m 1'
_symmetry_Int_Tables_number 156
_symmetry_space_group_name_Hall 'P 3 -2"'
loop_
_atom_site_label
_atom_site_fract_x
_atom_site_fract_y
_atom_site_fract_z
Tl1 0.0000 0.0000 0.0000
Cr1 0.6667 0.3333 0.3380
Hg1 0.3333 0.6667 0.6107